# TlP2Br

TlP2Br after structural relaxation (GGA-PBEsol, Alexandria).

The calculation puts the formation energy (no corrections) at 0.6370 eV per atom. The value obtained for the excess energy over the best structure of this formula in the dataset is 0.682 eV/atom.

The space group is Cmmm (No. 65) and the conventional cell measures 5.452, 12.602 and 2.672 Å, with angles of 90.00, 90.00 and 90.00 degrees. The distinct sites, in fractional coordinates, are Tl at (0.000, 0.000, 0.000), P at (0.250, 0.250, 0.500) and Br at (0.000, 0.500, 0.000).

***

# SrZrSe2

SrZrSe2 after structural relaxation (GGA-PBEsol, Alexandria).

The calculation puts the formation energy (no corrections) at -1.2328 eV per atom. The value obtained for the excess energy over the best structure of this formula in the dataset is 0.136 eV/atom.

The space group is Amm2 (No. 38) and the conventional cell measures 4.191, 3.857 and 12.009 Å, with angles of 90.00, 90.00 and 90.00 degrees. The distinct sites, in fractional coordinates, are Sr at (0.000, 0.000, 0.000), Zr at (0.500, 0.000, 0.281), Se at (0.000, 0.000, 0.746) and Se at (0.500, 0.000, 0.501).

***

# Na2GaPt2

Na2GaPt2 after structural relaxation (GGA-PBEsol, Alexandria).

Its formation energy is -0.3528 eV per atom.

The space group is P4/mbm (No. 127) and the conventional cell measures 6.264, 6.264 and 4.891 Å, with angles of 90.00, 90.00 and 90.00 degrees. The distinct sites, in fractional coordinates, are Na at (0.168, 0.332, 0.000), Ga at (0.000, 0.000, 0.500) and Pt at (0.143, 0.643, 0.500).

***

# LiAgSe2

LiAgSe2 after structural relaxation (GGA-PBEsol, Alexandria).

The calculation puts the formation energy (no corrections) at -0.1807 eV per atom. The value obtained for the excess energy over the best structure of this formula in the dataset is 0.244 eV/atom.

The space group is Cmm2 (No. 35) and the conventional cell measures 3.886, 4.022 and 9.579 Å, with angles of 90.00, 90.00 and 90.00 degrees. The distinct sites, in fractional coordinates, are Li at (0.000, 0.000, 0.000), Ag at (0.000, 0.500, 0.223), Se at (0.000, 0.000, 0.456) and Se at (0.000, 0.500, 0.814).

***

# Co21Re2B6

Co21Re2B6 after structural relaxation (GGA-PBEsol, Alexandria).

Its formation energy is -0.2394 eV per atom.

The space group is Fm-3m (No. 225) and the conventional cell measures 10.294, 10.294 and 10.294 Å, with angles of 90.00, 90.00 and 90.00 degrees. The distinct sites, in fractional coordinates, are Co at (0.000, 0.000, 0.000), Co at (0.000, 0.169, 0.169), Co at (0.119, 0.119, 0.381), Re at (0.250, 0.250, 0.250) and B at (0.000, 0.000, 0.275).

***

# YTi2Si2

YTi2Si2 after structural relaxation (GGA-PBEsol, Alexandria).

The calculation puts the formation energy (no corrections) at -0.7436 eV per atom.

The space group is I4/mmm (No. 139) and the conventional cell measures 3.945, 3.945 and 11.443 Å, with angles of 90.00, 90.00 and 90.00 degrees. The distinct sites, in fractional coordinates, are Y at (0.000, 0.000, 0.000), Ti at (0.000, 0.500, 0.250) and Si at (0.000, 0.000, 0.396).

***

# Cd3P2

Cd3P2 after structural relaxation (GGA-PBEsol, Alexandria).

The value obtained for the excess energy over the best structure of this formula in the dataset is 0.014 eV/atom. Its formation energy is -0.0030 eV per atom.

The space group is Ia-3 (No. 206) and the conventional cell measures 12.259, 12.259 and 12.259 Å, with angles of 90.00, 90.00 and 90.00 degrees. The distinct sites, in fractional coordinates, are Cd at (0.104, 0.146, 0.629), P at (0.000, 0.250, 0.484) and P at (0.250, 0.250, 0.250).

***

# InIrW2

InIrW2 after structural relaxation (GGA-PBEsol, Alexandria).

Its formation energy is 0.3339 eV per atom.

The space group is P4/mmm (No. 123) and the conventional cell measures 3.844, 3.844 and 4.354 Å, with angles of 90.00, 90.00 and 90.00 degrees. The distinct sites, in fractional coordinates, are In at (0.000, 0.000, 0.000), Ir at (0.500, 0.500, 0.000) and W at (0.000, 0.500, 0.500).

***

We obtain total DFT energy (no corrections) values of -27.07; -47.12; -43.66; -27.40; -952.74; -77.36; -243.02; -39.09 eV for the cell shown for the records listed above, in that order.
We obtain D(E_F) values of 4.60; 5.85; 1.69; 3.24; 121.38; 11.67; 3.26; 3.10 states/eV per cell for the records listed above, in that order.